Below is an optimized crystal structure of TlOs2Cl, with properties calculated at the GGA-PBE level.

Lattice parameters (Å, degrees): 5.502 5.502 5.502 149.81 125.10 63.94
Positions (direct):
Tl1 0.000 0.000 0.000
Os1 0.267 0.767 0.500
Os2 0.733 0.233 0.500
Cl1 0.500 0.500 0.000

Calculated values
E = -22.2 eV for the cell shown
Density of states at the Fermi level = 1.070 states/eV per atom
SG = Immm (71)
Polymorph energy (0 for the lowest one) = 756 meV/atom